1.
{
  "formula": "K2ThCuS4",
  "functional": "PBE-GGA",
  "state": "relaxed",
  "dft_energy_ev_per_atom": -4.9104,
  "e_form_raw_ev_per_atom": -1.13,
  "spacegroup": "C2/c (15)",
  "cell": [[5.6187, -5.6366, 0.0000], [5.6187, 5.6366, 0.0000], [-4.8006, 0.0000, 6.9897]],
  "species": ["K", "K", "K", "K", "Th", "Th", "Cu", "Cu", "S", "S", "S", "S", "S", "S", "S", "S"],
  "frac_coords": [[0.0000, 0.0000, 0.0000], [0.0000, 0.0000, 0.5000], [0.0000, 0.5000, 0.0000], [0.5000, 0.0000, 0.5000], [0.5000, 0.5000, 0.0000], [0.5000, 0.5000, 0.5000], [0.0000, 0.5000, 0.5000], [0.5000, 0.0000, 0.0000], [0.1929, 0.6678, 0.4440], [0.2703, 0.3314, 0.5968], [0.3314, 0.2703, 0.0968], [0.3322, 0.8071, 0.0560], [0.6678, 0.1929, 0.9440], [0.6686, 0.7297, 0.9032], [0.7297, 0.6686, 0.4032], [0.8071, 0.3322, 0.5560]]
}

***

2.
{
  "formula": "LiCa4Ho3S8",
  "functional": "PBE-GGA",
  "state": "relaxed",
  "dft_energy_ev_per_atom": -5.5696,
  "e_form_raw_ev_per_atom": -2.03,
  "spacegroup": "R-3m (166)",
  "cell": [[3.9364, 2.2727, 6.4703], [-3.9364, 2.2727, 6.4703], [0.0000, -4.5453, 6.4703]],
  "species": ["Li", "Ca", "Ca", "Ca", "Ca", "Ho", "Ho", "Ho", "S", "S", "S", "S", "S", "S", "S", "S"],
  "frac_coords": [[0.0000, 0.0000, 0.0000], [0.0000, 0.0000, 0.5000], [0.0000, 0.5000, 0.0000], [0.5000, 0.0000, 0.0000], [0.5000, 0.5000, 0.5000], [0.0000, 0.5000, 0.5000], [0.5000, 0.0000, 0.5000], [0.5000, 0.5000, 0.0000], [0.2468, 0.2468, 0.7462], [0.2468, 0.7462, 0.2468], [0.2525, 0.2525, 0.2525], [0.2538, 0.7532, 0.7532], [0.7462, 0.2468, 0.2468], [0.7475, 0.7475, 0.7475], [0.7532, 0.2538, 0.7532], [0.7532, 0.7532, 0.2538]]
}

***

Repeat the second record exactly.
{
  "formula": "LiCa4Ho3S8",
  "functional": "PBE-GGA",
  "state": "relaxed",
  "dft_energy_ev_per_atom": -5.5696,
  "e_form_raw_ev_per_atom": -2.03,
  "spacegroup": "R-3m (166)",
  "cell": [[3.9364, 2.2727, 6.4703], [-3.9364, 2.2727, 6.4703], [0.0000, -4.5453, 6.4703]],
  "species": ["Li", "Ca", "Ca", "Ca", "Ca", "Ho", "Ho", "Ho", "S", "S", "S", "S", "S", "S", "S", "S"],
  "frac_coords": [[0.0000, 0.0000, 0.0000], [0.0000, 0.0000, 0.5000], [0.0000, 0.5000, 0.0000], [0.5000, 0.0000, 0.0000], [0.5000, 0.5000, 0.5000], [0.0000, 0.5000, 0.5000], [0.5000, 0.0000, 0.5000], [0.5000, 0.5000, 0.0000], [0.2468, 0.2468, 0.7462], [0.2468, 0.7462, 0.2468], [0.2525, 0.2525, 0.2525], [0.2538, 0.7532, 0.7532], [0.7462, 0.2468, 0.2468], [0.7475, 0.7475, 0.7475], [0.7532, 0.2538, 0.7532], [0.7532, 0.7532, 0.2538]]
}